Entry 1:
A plane-wave DFT calculation with PBE was carried out for crystalline K3Li2OsO6 at its relaxed geometry.

a = 5.718 Å, b = 5.718 Å, c = 6.100 Å
α = 97.38°, β = 97.38°, γ = 121.57°
Fractional positions:
O1 0.070 0.355 0.171
O2 0.193 0.193 0.792
O3 0.930 0.645 0.829
O4 0.645 0.930 0.829
O5 0.807 0.807 0.208
O6 0.355 0.070 0.171
Li1 0.697 0.303 0.000
Li2 0.303 0.697 0.000
Os1 0.000 0.000 0.000
K1 0.500 0.500 0.500
K2 0.818 0.182 0.500
K3 0.182 0.818 0.500

Density of states at the Fermi level in states/eV per cell: 3.6
Energy relative to the elements, uncorrected in kJ/mol of atoms: -138.34
SG: No. 12
Size of the total moment in μB/cell: 1.04
Total DFT energy (no corrections) in eV/f.u.: -65.30

Entry 2:
A plane-wave DFT calculation with PBE was carried out for crystalline KLiPO2 at its relaxed geometry.

a = 4.832 Å, b = 4.832 Å, c = 6.031 Å
α = 90.00°, β = 90.00°, γ = 90.00°
Fractional positions:
Li1 0.500 0.500 0.500
O1 0.000 0.500 0.000
O2 0.500 0.000 0.000
P1 0.000 0.000 0.500
K1 0.000 0.000 0.000

Density of states at the Fermi level in states/eV per cell: 3.2
Excess energy over the best structure of this formula in the dataset in eV per atom: 0.6216
Energy relative to the elements, uncorrected in kJ/mol of atoms: 75.80
SG: No. 123
Size of the total moment in μB/cell: 5.00
Total DFT energy (no corrections) in eV/f.u.: -14.41

Entry 3:
A plane-wave DFT calculation with PBE was carried out for crystalline KLiP2O at its relaxed geometry.

a = 6.084 Å, b = 6.084 Å, c = 4.706 Å
α = 90.00°, β = 90.00°, γ = 90.00°
Fractional positions:
O1 0.000 0.000 0.500
K1 0.000 0.000 0.000
Li1 0.500 0.500 0.500
P1 0.500 0.000 0.000
P2 0.000 0.500 0.000

Density of states at the Fermi level in states/eV per cell: 2.8
Excess energy over the best structure of this formula in the dataset in eV per atom: 0.7903
Energy relative to the elements, uncorrected in kJ/mol of atoms: 112.97
SG: No. 123
Size of the total moment in μB/cell: 6.01
Total DFT energy (no corrections) in eV/f.u.: -12.94